A relaxed structure of AcZn4Au4, computed with PBE-GGA.

The structure belongs to space group P4_2/nmc (No. 137, origin choice 2); the cell edges are 6.2778, 6.2778 and 9.1320 Å and the angles 90.00°, 90.00° and 90.00°. The distinct sites, in fractional coordinates, are Ac at (0.2500, 0.7500, 0.2500), Zn at (0.0291, 0.2500, 0.1561) and Au at (0.0276, 0.2500, 0.4462).

The total energy is -2.87 eV/atom. As for the energy of formation: -3.6 eV/f.u.

=====

A relaxed structure of AcZnAu2, computed with PBE-GGA.

The structure belongs to space group Fm-3m (No. 225); the cell edges are 7.2981, 7.2981 and 7.2981 Å and the angles 90.00°, 90.00° and 90.00°. The distinct sites, in fractional coordinates, are Ac at (0.0000, 0.0000, 0.0000), Zn at (0.0000, 0.0000, 0.5000) and Au at (0.2500, 0.2500, 0.2500).

The total energy is -3.51 eV/atom. As for the energy of formation: -2.1 eV/f.u.